P:
DFT (PBE-GGA) results for a geometry-optimized SrCo3Rh structure.

Geometry as CIF:
```
data_SrCo3Rh
_cell_length_a 4.678
_cell_length_b 4.678
_cell_length_c 4.678
_cell_angle_alpha 90.00
_cell_angle_beta 90.00
_cell_angle_gamma 90.00
_symmetry_space_group_name_H-M 'P 1'
_symmetry_Int_Tables_number 1
loop_
_symmetry_equiv_pos_as_xyz
'x,y,z'
loop_
_atom_site_label
_atom_site_fract_x
_atom_site_fract_y
_atom_site_fract_z
Co1 0.500 0.000 0.000
Co2 0.000 0.000 0.500
Co3 0.000 0.500 0.000
Rh1 0.000 0.000 0.000
Sr1 0.500 0.500 0.500
```

Summary:
Spin magnetization: 6.46 μB per formula unit

Q:
DFT (PBE-GGA) results for a geometry-optimized SrCo3Rh structure.

Geometry as CIF:
```
data_SrCo3Rh
_cell_length_a 4.545
_cell_length_b 4.545
_cell_length_c 4.545
_cell_angle_alpha 90.00
_cell_angle_beta 90.00
_cell_angle_gamma 90.00
_symmetry_space_group_name_H-M 'P 1'
_symmetry_Int_Tables_number 1
loop_
_symmetry_equiv_pos_as_xyz
'x,y,z'
loop_
_atom_site_label
_atom_site_fract_x
_atom_site_fract_y
_atom_site_fract_z
Co1 0.500 0.000 0.000
Co2 0.000 0.500 0.000
Co3 0.000 0.000 0.500
Sr1 0.000 0.000 0.000
Rh1 0.500 0.500 0.500
```

Summary:
Spin magnetization: 4.97 μB per formula unit

Stability ranking, top entry: P; the second entry is 1604 meV/atom less favorable.

P:
DFT (PBE-GGA) results for a geometry-optimized TaCo3Rh structure.

Geometry as CIF:
```
data_TaCo3Rh
_cell_length_a 4.391
_cell_length_b 4.391
_cell_length_c 4.391
_cell_angle_alpha 90.00
_cell_angle_beta 90.00
_cell_angle_gamma 90.00
_symmetry_space_group_name_H-M 'P 1'
_symmetry_Int_Tables_number 1
loop_
_symmetry_equiv_pos_as_xyz
'x,y,z'
loop_
_atom_site_label
_atom_site_fract_x
_atom_site_fract_y
_atom_site_fract_z
Rh1 0.500 0.500 0.500
Co1 0.000 0.000 0.500
Co2 0.000 0.500 0.000
Co3 0.500 0.000 0.000
Ta1 0.000 0.000 0.000
```

Summary:
Spin magnetization: 2.73 μB per formula unit

Q:
DFT (PBE-GGA) results for a geometry-optimized TaCo3Rh structure.

Geometry as CIF:
```
data_TaCo3Rh
_cell_length_a 4.402
_cell_length_b 4.402
_cell_length_c 4.402
_cell_angle_alpha 90.00
_cell_angle_beta 90.00
_cell_angle_gamma 90.00
_symmetry_space_group_name_H-M 'P 1'
_symmetry_Int_Tables_number 1
loop_
_symmetry_equiv_pos_as_xyz
'x,y,z'
loop_
_atom_site_label
_atom_site_fract_x
_atom_site_fract_y
_atom_site_fract_z
Rh1 0.000 0.000 0.000
Co1 0.000 0.000 0.500
Co2 0.000 0.500 0.000
Co3 0.500 0.000 0.000
Ta1 0.500 0.500 0.500
```

Summary:
Spin magnetization: 6.09 μB per formula unit

Stability ranking, top entry: Q; the second entry is 59 meV/atom less favorable.